# Y2SiNi2Ge

An optimized crystal structure of Y2SiNi2Ge (GGA-PBE, OQMD via LeMat-Bulk).

POSCAR file:
```
Y2SiNi2Ge
1.0
4.128 0.000 0.000
-2.064 3.575 0.000
0.000 0.000 7.466
Y Si Ni Ge
2 1 2 1
Direct
0.000 0.000 0.248 Y
0.000 0.000 0.752 Y
0.667 0.333 0.000 Si
0.333 0.667 0.000 Ni
0.667 0.333 0.500 Ni
0.333 0.667 0.500 Ge
```

* uncorrected energy: -0.237 Ha/atom
* crystal system: hexagonal
* magnetization: 0.006 μB per atom